The following is a PBE+U calculation of crystalline Mn3WO at its relaxed geometry, from Alexandria via LeMat-Bulk.

* ΔE to the lowest computed polymorph: 7.99 eV/f.u.
* raw total energy: -26.03 eV for the cell shown
* total magnetization: 1.8844 μB per atom
* calculated volume: 145 Å³/f.u.

Geometry as CIF:
```
data_Mn3WO
_chemical_formula_sum 'Mn3 W1 O1'
_space_group_name_H-M_alt 'P m -3 m'
_space_group_IT_number 221
_space_group_name_Hall '-P 4 2 3'
_cell_length_a 5.252
_cell_length_b 5.252
_cell_length_c 5.252
_cell_angle_alpha 90.00
_cell_angle_beta 90.00
_cell_angle_gamma 90.00
loop_
_atom_site_label
_atom_site_type_symbol
_atom_site_fract_x
_atom_site_fract_y
_atom_site_fract_z
Mn1 Mn 0.000 0.000 0.500
W1 W 0.000 0.000 0.000
O1 O 0.500 0.500 0.500
```